*one*
## RbDyPO (PBE)

Data for an optimized crystal structure of RbDyPO.

Cell lengths 5.796, 5.796, 5.150 Å; angles 90.00, 90.00, 90.00 degrees
Fractional coordinates of all 8 atoms:
1 P 0.250 0.250 0.504
2 P 0.750 0.750 0.496
3 Rb 0.250 0.250 0.004
4 O 0.750 0.250 0.000
5 Rb 0.750 0.750 0.996
6 Dy 0.750 0.250 0.500
7 Dy 0.250 0.750 0.500
8 O 0.250 0.750 0.000

Crystal system: tetragonal


*two*
## RbDyPO (PBE)

Data for an optimized crystal structure of RbDyPO.

Cell lengths 4.752, 8.067, 6.675 Å; angles 90.00, 90.00, 90.00 degrees
Last column: magnetic moment on the atom in μB.
Fractional coordinates of all 8 atoms:
1 P 0.500 0.216 0.938  0.35
2 Rb 0.500 0.797 0.948  0.02
3 Rb 0.500 0.203 0.448  0.02
4 P 0.500 0.784 0.438  0.35
5 O 0.000 0.413 0.341  0.03
6 Dy 0.000 0.623 0.527  0.01
7 O 0.000 0.587 0.841  0.03
8 Dy 0.000 0.377 0.027  0.01

Crystal system: orthorhombic


Relative to the most stable structure, the computed energies are *one* 493; *two* 0, all in meV per atom.


*one*
## Cu5Ag4 (PBE)

Data for an optimized crystal structure of Cu5Ag4.

Cell lengths 7.181, 7.181, 7.978 Å; angles 122.91, 122.91, 22.36 degrees
Fractional coordinates of all 9 atoms:
1 Cu 0.559 0.559 0.816
2 Ag 0.338 0.338 0.492
3 Ag 0.888 0.888 0.848
4 Cu 0.000 0.000 0.500
5 Ag 0.662 0.662 0.508
6 Cu 0.218 0.218 0.847
7 Cu 0.441 0.441 0.184
8 Cu 0.782 0.782 0.153
9 Ag 0.112 0.112 0.152

Crystal system: monoclinic


*two*
## Cu5Ag4 (PBE)

Data for an optimized crystal structure of Cu5Ag4.

Cell lengths 2.782, 2.782, 19.731 Å; angles 90.00, 90.00, 120.00 degrees
Fractional coordinates of all 9 atoms:
1 Ag 0.333 0.667 0.713
2 Cu 0.667 0.333 0.599
3 Cu 0.000 0.000 0.500
4 Ag 0.333 0.667 0.063
5 Cu 0.000 0.000 0.825
6 Cu 0.333 0.667 0.401
7 Ag 0.667 0.333 0.937
8 Ag 0.667 0.333 0.287
9 Cu 0.000 0.000 0.175

Crystal system: trigonal


Relative to the most stable structure, the computed energies are *one* 0; *two* 24, all in meV per atom.


*one*
## BaTcOsAu (PBE)

Data for an optimized crystal structure of BaTcOsAu.

Cell lengths 4.913, 4.913, 4.913 Å; angles 60.00, 60.00, 60.00 degrees
Fractional coordinates of all 4 atoms:
1 Tc 0.500 0.500 0.500
2 Ba 0.000 0.000 0.000
3 Au 0.750 0.750 0.750
4 Os 0.250 0.250 0.250

Crystal system: cubic


*two*
## BaTcOsAu (PBE)

Data for an optimized crystal structure of BaTcOsAu.

Cell lengths 4.850, 4.850, 4.850 Å; angles 60.00, 60.00, 60.00 degrees
Fractional coordinates of all 4 atoms:
1 Os 0.000 0.000 0.000
2 Au 0.750 0.750 0.750
3 Ba 0.250 0.250 0.250
4 Tc 0.500 0.500 0.500

Crystal system: cubic


Relative to the most stable structure, the computed energies are *one* 0; *two* 221, all in meV per atom.


*one*
## PrTlHgTe3 (PBE)

Data for an optimized crystal structure of PrTlHgTe3.

Cell lengths 8.843, 4.524, 11.129 Å; angles 90.00, 106.37, 90.00 degrees
Fractional coordinates of all 12 atoms:
1 Pr 0.805 0.750 0.359
2 Te 0.548 0.250 0.363
3 Pr 0.195 0.250 0.641
4 Tl 0.759 0.250 0.789
5 Te 0.054 0.250 0.348
6 Te 0.946 0.750 0.652
7 Tl 0.241 0.750 0.211
8 Hg 0.586 0.250 0.119
9 Te 0.751 0.750 0.051
10 Te 0.249 0.250 0.949
11 Te 0.452 0.750 0.637
12 Hg 0.414 0.750 0.881

Crystal system: monoclinic


*two*
## PrTlHgTe3 (PBE)

Data for an optimized crystal structure of PrTlHgTe3.

Cell lengths 10.209, 10.209, 9.545 Å; angles 102.85, 102.85, 25.52 degrees
Fractional coordinates of all 12 atoms:
1 Pr 0.173 0.173 0.092
2 Te 0.686 0.686 0.334
3 Pr 0.827 0.827 0.908
4 Te 0.314 0.314 0.666
5 Tl 0.131 0.131 0.581
6 Te 0.000 0.000 0.000
7 Te 0.500 0.500 0.500
8 Hg 0.461 0.461 0.777
9 Te 0.666 0.666 0.858
10 Tl 0.869 0.869 0.419
11 Hg 0.539 0.539 0.223
12 Te 0.334 0.334 0.142

Crystal system: monoclinic


Relative to the most stable structure, the computed energies are *one* 0; *two* 57, all in meV per atom.


*one*
## SnTePtO (PBE)

Data for an optimized crystal structure of SnTePtO.

Cell lengths 7.635, 6.970, 6.393 Å; angles 90.00, 90.00, 90.00 degrees
Fractional coordinates of all 16 atoms:
1 Pt 0.447 0.702 0.010
2 Pt 0.947 0.298 0.010
3 Te 0.389 0.626 0.609
4 Pt 0.053 0.702 0.510
5 O 0.309 0.175 0.670
6 Sn 0.880 0.927 0.962
7 Te 0.611 0.374 0.109
8 O 0.809 0.825 0.670
9 O 0.691 0.825 0.170
10 Te 0.889 0.374 0.609
11 O 0.191 0.175 0.170
12 Sn 0.120 0.073 0.462
13 Sn 0.380 0.073 0.962
14 Te 0.111 0.626 0.109
15 Sn 0.620 0.927 0.462
16 Pt 0.553 0.298 0.510

Crystal system: orthorhombic


*two*
## SnTePtO (PBE)

Data for an optimized crystal structure of SnTePtO.

Cell lengths 4.956, 9.160, 9.961 Å; angles 90.00, 90.00, 90.00 degrees
Fractional coordinates of all 16 atoms:
1 Te 0.927 0.906 0.174
2 Pt 0.180 0.722 0.023
3 O 0.402 0.723 0.429
4 Sn 0.302 0.803 0.611
5 O 0.902 0.777 0.571
6 Te 0.427 0.594 0.826
7 Pt 0.820 0.222 0.477
8 Pt 0.320 0.278 0.523
9 O 0.098 0.277 0.929
10 Sn 0.698 0.303 0.889
11 O 0.598 0.223 0.071
12 Sn 0.802 0.697 0.389
13 Sn 0.198 0.197 0.111
14 Te 0.073 0.406 0.326
15 Pt 0.680 0.778 0.977
16 Te 0.573 0.094 0.674

Crystal system: orthorhombic


Relative to the most stable structure, the computed energies are *one* 0; *two* 144, all in meV per atom.


*one*
## NbTlIn (PBE)

Data for an optimized crystal structure of NbTlIn.

Cell lengths 4.786, 4.786, 4.786 Å; angles 60.00, 60.00, 60.00 degrees
Last column: magnetic moment on the atom in μB.
Fractional coordinates of all 3 atoms:
1 Tl 0.750 0.750 0.750  -0.01
2 Nb 0.000 0.000 0.000  1.21
3 In 0.250 0.250 0.250  0.00

Crystal system: cubic


*two*
## NbTlIn (PBE)

Data for an optimized crystal structure of NbTlIn.

Cell lengths 4.785, 4.785, 4.785 Å; angles 60.00, 60.00, 60.00 degrees
Fractional coordinates of all 3 atoms:
1 In 0.250 0.250 0.250
2 Nb 0.750 0.750 0.750
3 Tl 0.000 0.000 0.000

Crystal system: cubic


Relative to the most stable structure, the computed energies are *one* 0; *two* 195, all in meV per atom.